--- i ---
# Ni2C | Alexandria | GGA-PBE | relaxed
# total magnetic moment = 0.0 μB per formula unit
data_Ni2C
_chemical_formula_sum 'Ni2 C1'
_cell_length_a 2.6745
_cell_length_b 2.6745
_cell_length_c 4.7080
_cell_angle_alpha 90.00
_cell_angle_beta 90.00
_cell_angle_gamma 120.00
_symmetry_space_group_name_H-M 'P -6 m 2'
_symmetry_Int_Tables_number 187
_symmetry_space_group_name_Hall 'P -6 2'
loop_
_atom_site_label
_atom_site_type_symbol
_atom_site_fract_x
_atom_site_fract_y
_atom_site_fract_z
Ni1 Ni 0.0000 0.0000 0.2494
C1 C 0.3333 0.6667 0.0000

***

--- ii ---
# Ni2C | Alexandria | GGA-PBE | relaxed
# total magnetic moment = 0.0 μB per formula unit
data_Ni2C
_chemical_formula_sum 'Ni8 C4'
_cell_length_a 5.286
_cell_length_b 3.294
_cell_length_c 6.006
_cell_angle_alpha 90.00
_cell_angle_beta 90.00
_cell_angle_gamma 90.00
_symmetry_space_group_name_H-M 'P n m a'
_symmetry_Int_Tables_number 62
loop_
_symmetry_equiv_pos_as_xyz
'x,y,z'
'-x,-y,-z'
'-x+1/2,-y,z+1/2'
'x+1/2,y,-z+1/2'
'x+1/2,-y+1/2,-z+1/2'
'-x+1/2,y+1/2,z+1/2'
'-x,y+1/2,-z'
'x,-y+1/2,z'
loop_
_atom_site_label
_atom_site_type_symbol
_atom_site_fract_x
_atom_site_fract_y
_atom_site_fract_z
Ni1 Ni 0.035 0.250 0.150
Ni2 Ni 0.132 0.250 0.585
C1 C 0.245 0.750 0.390

***

Of them, the most stable is ii and the least stable is i.

***

--- i ---
# NiC3 | Alexandria | GGA-PBE | relaxed
# total magnetic moment = 0.0 μB per formula unit
data_NiC3
_chemical_formula_sum 'Ni3 C9'
_cell_length_a 2.5089
_cell_length_b 2.5089
_cell_length_c 14.9142
_cell_angle_alpha 90.00
_cell_angle_beta 90.00
_cell_angle_gamma 120.00
_symmetry_space_group_name_H-M 'R -3 m'
_symmetry_Int_Tables_number 166
_symmetry_space_group_name_Hall '-R 3 2"'
loop_
_atom_site_label
_atom_site_type_symbol
_atom_site_fract_x
_atom_site_fract_y
_atom_site_fract_z
Ni1 Ni 0.0000 0.0000 0.0000
C1 C 0.0000 0.0000 0.2307
C2 C 0.0000 0.0000 0.5000

***

--- ii ---
# NiC3 | Alexandria | GGA-PBE | relaxed
# total magnetic moment = 0.0 μB per formula unit
data_NiC3
_chemical_formula_sum 'Ni2 C6'
_cell_length_a 3.265
_cell_length_b 3.265
_cell_length_c 5.865
_cell_angle_alpha 90.00
_cell_angle_beta 90.00
_cell_angle_gamma 90.00
_symmetry_space_group_name_H-M 'I 4/m m m'
_symmetry_Int_Tables_number 139
_symmetry_space_group_name_Hall '-I 4 2'
loop_
_atom_site_label
_atom_site_type_symbol
_atom_site_fract_x
_atom_site_fract_y
_atom_site_fract_z
Ni1 Ni 0.000 0.000 0.000
C1 C 0.000 0.000 0.500
C2 C 0.000 0.500 0.250

***

--- iii ---
# NiC3 | Alexandria | GGA-PBE | relaxed
# total magnetic moment = 0.0 μB per formula unit
data_NiC3
_chemical_formula_sum 'Ni4 C12'
_cell_length_a 4.316
_cell_length_b 14.517
_cell_length_c 2.526
_cell_angle_alpha 90.00
_cell_angle_beta 90.00
_cell_angle_gamma 90.00
_symmetry_space_group_name_H-M 'C m c m'
_symmetry_Int_Tables_number 63
_symmetry_space_group_name_Hall '-C 2c 2'
loop_
_atom_site_label
_atom_site_type_symbol
_atom_site_fract_x
_atom_site_fract_y
_atom_site_fract_z
Ni1 Ni 0.000 0.136 0.250
C1 C 0.000 0.312 0.750
C2 C 0.157 0.378 0.250

***

Of them, the most stable is iii and the least stable is ii.

***

--- i ---
# Ni3C5 | Alexandria | GGA-PBE | relaxed
# total magnetic moment = 0.0 μB per formula unit
data_Ni3C5
_chemical_formula_sum 'Ni24 C40'
_cell_length_a 5.447
_cell_length_b 12.025
_cell_length_c 10.666
_cell_angle_alpha 90.00
_cell_angle_beta 90.00
_cell_angle_gamma 90.00
_symmetry_space_group_name_H-M 'F m m 2'
_symmetry_Int_Tables_number 42
_symmetry_space_group_name_Hall 'F 2 -2'
loop_
_atom_site_label
_atom_site_type_symbol
_atom_site_fract_x
_atom_site_fract_y
_atom_site_fract_z
Ni1 Ni 0.000 0.000 0.000
Ni2 Ni 0.000 0.000 0.225
Ni3 Ni 0.000 0.097 0.683
Ni4 Ni 0.250 0.250 0.313
C1 C 0.000 0.122 0.883
C2 C 0.000 0.222 0.946
C3 C 0.000 0.237 0.186
C4 C 0.000 0.243 0.566
C5 C 0.239 0.000 0.617

***

--- ii ---
# Ni3C5 | Alexandria | GGA-PBE | relaxed
# total magnetic moment = 0.0 μB per formula unit
data_Ni3C5
_chemical_formula_sum 'Ni6 C10'
_cell_length_a 4.543
_cell_length_b 5.820
_cell_length_c 7.618
_cell_angle_alpha 90.00
_cell_angle_beta 90.00
_cell_angle_gamma 90.00
_symmetry_space_group_name_H-M 'C m m m'
_symmetry_Int_Tables_number 65
_symmetry_space_group_name_Hall '-C 2 2'
loop_
_atom_site_label
_atom_site_type_symbol
_atom_site_fract_x
_atom_site_fract_y
_atom_site_fract_z
Ni1 Ni 0.000 0.000 0.000
Ni2 Ni 0.000 0.306 0.500
C1 C 0.000 0.500 0.000
C2 C 0.155 0.000 0.500
C3 C 0.250 0.250 0.000

***

Of them, the most stable is i and the least stable is ii.

***

--- i ---
# Ni3C5 | Alexandria | GGA-PBE | relaxed
# total magnetic moment = 1.1 μB per formula unit
data_Ni3C5
_chemical_formula_sum 'Ni3 C5'
_cell_length_a 2.835
_cell_length_b 2.835
_cell_length_c 9.200
_cell_angle_alpha 90.00
_cell_angle_beta 90.00
_cell_angle_gamma 90.00
_symmetry_space_group_name_H-M 'P 4/m m m'
_symmetry_Int_Tables_number 123
_symmetry_space_group_name_Hall '-P 4 2'
loop_
_atom_site_label
_atom_site_type_symbol
_atom_site_fract_x
_atom_site_fract_y
_atom_site_fract_z
Ni1 Ni 0.000 0.000 0.000
Ni2 Ni 0.500 0.500 0.282
C1 C 0.000 0.000 0.357
C2 C 0.000 0.000 0.500
C3 C 0.500 0.500 0.073

***

--- ii ---
# Ni3C5 | Alexandria | GGA-PBE | relaxed
# total magnetic moment = 0.2 μB per formula unit
data_Ni3C5
_chemical_formula_sum 'Ni6 C10'
_cell_length_a 7.055
_cell_length_b 3.817
_cell_length_c 7.069
_cell_angle_alpha 90.00
_cell_angle_beta 119.78
_cell_angle_gamma 90.00
_symmetry_space_group_name_H-M 'P 1 21/m 1'
_symmetry_Int_Tables_number 11
loop_
_symmetry_equiv_pos_as_xyz
'x,y,z'
'-x,-y,-z'
'-x,y+1/2,-z'
'x,-y+1/2,z'
loop_
_atom_site_label
_atom_site_type_symbol
_atom_site_fract_x
_atom_site_fract_y
_atom_site_fract_z
Ni1 Ni 0.166 0.250 0.333
Ni2 Ni 0.332 0.750 0.668
Ni3 Ni 0.333 0.750 0.167
C1 C 0.166 0.576 0.835
C2 C 0.234 0.750 0.369
C3 C 0.366 0.250 0.632
C4 C 0.368 0.250 0.234

***

Of them, the most stable is i and the least stable is ii.

***

--- i ---
# Ni5C | Alexandria | GGA-PBE | relaxed
# total magnetic moment = 0.8 μB per formula unit
data_Ni5C
_chemical_formula_sum 'Ni10 C2'
_cell_length_a 8.132
_cell_length_b 2.558
_cell_length_c 5.954
_cell_angle_alpha 90.00
_cell_angle_beta 103.72
_cell_angle_gamma 90.00
_symmetry_space_group_name_H-M 'C 1 m 1'
_symmetry_Int_Tables_number 8
loop_
_symmetry_equiv_pos_as_xyz
'x,y,z'
'x,-y,z'
'x+1/2,y+1/2,z'
'x+1/2,-y+1/2,z'
loop_
_atom_site_label
_atom_site_type_symbol
_atom_site_fract_x
_atom_site_fract_y
_atom_site_fract_z
Ni1 Ni 0.000 0.000 0.000
Ni2 Ni 0.081 0.000 0.433
Ni3 Ni 0.196 0.500 0.805
Ni4 Ni 0.303 0.000 0.203
Ni5 Ni 0.391 0.000 0.636
C1 C 0.128 0.500 0.212

***

--- ii ---
# Ni5C | Alexandria | GGA-PBE | relaxed
# total magnetic moment = 1.5 μB per formula unit
data_Ni5C
_chemical_formula_sum 'Ni5 C1'
_cell_length_a 2.481
_cell_length_b 2.481
_cell_length_c 9.562
_cell_angle_alpha 90.00
_cell_angle_beta 90.00
_cell_angle_gamma 90.00
_symmetry_space_group_name_H-M 'P 4/m m m'
_symmetry_Int_Tables_number 123
_symmetry_space_group_name_Hall '-P 4 2'
loop_
_atom_site_label
_atom_site_type_symbol
_atom_site_fract_x
_atom_site_fract_y
_atom_site_fract_z
Ni1 Ni 0.000 0.000 0.000
Ni2 Ni 0.000 0.000 0.378
Ni3 Ni 0.500 0.500 0.181
C1 C 0.500 0.500 0.500

***

--- iii ---
# Ni5C | Alexandria | GGA-PBE | relaxed
# total magnetic moment = 0.7 μB per formula unit
data_Ni5C
_chemical_formula_sum 'Ni20 C4'
_cell_length_a 6.450
_cell_length_b 6.450
_cell_length_c 6.450
_cell_angle_alpha 90.00
_cell_angle_beta 90.00
_cell_angle_gamma 90.00
_symmetry_space_group_name_H-M 'F -4 3 m'
_symmetry_Int_Tables_number 216
_symmetry_space_group_name_Hall 'F -4 2 3'
loop_
_atom_site_label
_atom_site_type_symbol
_atom_site_fract_x
_atom_site_fract_y
_atom_site_fract_z
Ni1 Ni 0.000 0.000 0.000
Ni2 Ni 0.125 0.125 0.625
C1 C 0.250 0.250 0.250

***

--- iv ---
# Ni5C | Alexandria | GGA-PBE | relaxed
# total magnetic moment = 1.8 μB per formula unit
data_Ni5C
_chemical_formula_sum 'Ni10 C2'
_cell_length_a 3.733
_cell_length_b 3.747
_cell_length_c 9.442
_cell_angle_alpha 90.00
_cell_angle_beta 90.00
_cell_angle_gamma 90.00
_symmetry_space_group_name_H-M 'A m m 2'
_symmetry_Int_Tables_number 38
loop_
_symmetry_equiv_pos_as_xyz
'x,y,z'
'-x,-y,z'
'-x,y,z'
'x,-y,z'
'x,y+1/2,z+1/2'
'-x,-y+1/2,z+1/2'
'-x,y+1/2,z+1/2'
'x,-y+1/2,z+1/2'
loop_
_atom_site_label
_atom_site_type_symbol
_atom_site_fract_x
_atom_site_fract_y
_atom_site_fract_z
Ni1 Ni 0.000 0.000 0.000
Ni2 Ni 0.000 0.000 0.310
Ni3 Ni 0.500 0.000 0.163
Ni4 Ni 0.500 0.000 0.497
Ni5 Ni 0.500 0.000 0.809
C1 C 0.000 0.000 0.506

***

Of them, the most stable is i and the least stable is iii.

***

--- i ---
# Ni5C | Alexandria | GGA-PBE | relaxed
# total magnetic moment = 1.9 μB per formula unit
data_Ni5C
_chemical_formula_sum 'Ni5 C1'
_cell_length_a 4.2653
_cell_length_b 4.2653
_cell_length_c 3.7876
_cell_angle_alpha 90.00
_cell_angle_beta 90.00
_cell_angle_gamma 120.00
_symmetry_space_group_name_H-M 'P -6 2 m'
_symmetry_Int_Tables_number 189
_symmetry_space_group_name_Hall 'P -6 -2'
loop_
_atom_site_label
_atom_site_type_symbol
_atom_site_fract_x
_atom_site_fract_y
_atom_site_fract_z
Ni1 Ni 0.0000 0.6842 0.0000
Ni2 Ni 0.3333 0.6667 0.5000
C1 C 0.0000 0.0000 0.5000

***

--- ii ---
# Ni5C | Alexandria | GGA-PBE | relaxed
# total magnetic moment = 1.2 μB per formula unit
data_Ni5C
_chemical_formula_sum 'Ni10 C2'
_cell_length_a 2.519
_cell_length_b 12.461
_cell_length_c 3.999
_cell_angle_alpha 90.00
_cell_angle_beta 90.00
_cell_angle_gamma 90.00
_symmetry_space_group_name_H-M 'C m m m'
_symmetry_Int_Tables_number 65
_symmetry_space_group_name_Hall '-C 2 2'
loop_
_atom_site_label
_atom_site_type_symbol
_atom_site_fract_x
_atom_site_fract_y
_atom_site_fract_z
Ni1 Ni 0.000 0.000 0.000
Ni2 Ni 0.000 0.116 0.500
Ni3 Ni 0.000 0.328 0.000
C1 C 0.000 0.500 0.500

***

Of them, the most stable is ii and the least stable is i.